DFT (GGA-PBE) results for CsCaS2Cl after structural relaxation.

Properties
As for the uncorrected formation energy: -1.100 eV per atom. Its density of states at the Fermi level is 1.22 states/eV per atom. As for the energy above the lowest structure with this stoichiometry: 0.000 eV per atom. The calculation puts the theoretical density at 2684 kg/m3. Its symmetry is P4/mmm.

a b c (Å): 5.5142 5.5142 5.5467
angles (deg): 90.00 90.00 90.00
Closest atoms and distances in Å follow each position.
Positions (direct):
Cs  0.5000  0.5000  0.5000  4 Cl 3.90, 8 S 3.91
Ca  0.0000  0.0000  0.0000  4 S 2.76, 2 Cl 2.77
S  0.0000  0.5000  0.0000  2 Ca 2.76
S  0.5000  0.0000  0.0000  2 Ca 2.76
Cl  0.0000  0.0000  0.5000  2 Ca 2.77